BaPu2N3 PBE-GGA optimized geometry; calculated density = 9.7 g cm⁻³; D(E_F) = 1.58 states/eV per atom; E above lowest polymorph = 0 meV per atom; energy = -10.306 eV/atom; raw formation energy = -6.272 eV per formula unit
1.0
4.222 0.000 0.000
0.000 4.244 0.001
0.000 -0.002 12.692
N Ba Pu
6 2 4
Cartesian
3.166 3.183 0.014 N
1.055 3.185 9.520 N
3.166 3.182 6.333 N
1.055 1.058 12.679 N
3.166 1.056 3.173 N
1.055 1.059 6.360 N
1.055 3.182 3.174 Ba
3.166 1.060 9.519 Ba
3.166 1.060 5.436 Pu
1.055 3.181 11.782 Pu
1.055 3.182 7.257 Pu
3.166 1.060 0.911 Pu